No. 1
First-principles (GGA-PBE) data for an optimized crystal structure of UAlSn, as listed in the Alexandria database.

Cell and atoms, written as POSCAR:
```
UAlSn
1.0
5.066 0.000 0.000
-2.533 4.387 0.000
0.000 0.000 2.966
U Al Sn
1 1 1
Cartesian
0.000 0.000 0.000 U
2.533 1.462 1.483 Al
0.000 2.925 1.483 Sn
```

**D(E_F)**: 4.5 states/eV/cell
**Raw total energy**: -19.00 eV per cell
**Total moment**: 0.944 μB/atom
**Energy relative to the elements**: 10 meV per atom

***

No. 2
First-principles (GGA-PBE) data for an optimized crystal structure of Ac2TlGe, as listed in the Alexandria database.

Cell and atoms, written as POSCAR:
```
Ac2TlGe
1.0
2.239 1.293 8.655
-2.239 1.293 8.655
0.000 -2.586 8.655
Ac Tl Ge
2 1 1
Cartesian
0.000 0.000 0.000 Ac
0.000 0.000 5.064 Ac
0.000 0.000 19.813 Tl
0.000 0.000 15.517 Ge
```

**D(E_F)**: 4.2 states/eV/cell
**Raw total energy**: -16.88 eV per cell
**Total moment**: 0.000 μB/atom
**Energy relative to the elements**: -419 meV per atom

***

No. 3
First-principles (GGA-PBE) data for an optimized crystal structure of Cu2Ni7Pd2, as listed in the Alexandria database.

Cell and atoms, written as POSCAR:
```
Cu2Ni7Pd2
1.0
4.677 0.000 0.000
-0.388 4.661 0.000
-1.029 -1.113 6.262
Cu Ni Pd
2 7 2
Cartesian
0.212 0.941 3.125 Cu
3.048 2.607 3.137 Cu
-0.275 4.107 1.138 Ni
-0.679 1.806 5.370 Ni
1.582 2.391 1.138 Ni
2.339 0.000 0.000 Ni
1.678 1.157 5.124 Ni
3.939 1.742 0.892 Ni
3.535 -0.559 5.124 Ni
0.693 3.312 3.826 Pd
2.567 0.236 2.436 Pd
```

**D(E_F)**: 19.3 states/eV/cell
**Raw total energy**: -57.54 eV per cell
**Total moment**: 0.425 μB/atom
**Energy relative to the elements**: 137 meV per atom

***

No. 4
First-principles (GGA-PBE) data for an optimized crystal structure of Ta2ReIr, as listed in the Alexandria database.

Cell and atoms, written as POSCAR:
```
Ta2ReIr
1.0
1.708 -2.236 0.000
1.708 2.236 0.000
0.000 0.000 8.553
Ta Re Ir
2 1 1
Cartesian
0.000 0.000 2.089 Ta
0.000 0.000 6.464 Ta
1.708 0.000 4.277 Re
1.708 0.000 0.000 Ir
```

**D(E_F)**: 2.6 states/eV/cell
**Raw total energy**: -46.08 eV per cell
**Total moment**: 0.000 μB/atom
**Energy relative to the elements**: -266 meV per atom

***

No. 5
First-principles (GGA-PBE) data for an optimized crystal structure of Tb3Nd6Ho2Th, as listed in the Alexandria database.

Cell and atoms, written as POSCAR:
```
Tb3Nd6Ho2Th
1.0
3.137 -5.427 0.000
3.137 5.427 0.000
-2.096 0.000 11.794
Tb Nd Ho Th
3 6 2 1
Cartesian
0.000 0.000 0.000 Tb
3.137 1.811 0.000 Tb
3.137 -1.811 0.000 Tb
1.052 1.791 2.962 Nd
0.021 0.000 8.828 Nd
1.052 -1.791 2.962 Nd
3.125 1.791 8.832 Nd
4.156 0.000 2.966 Nd
3.125 -1.791 8.832 Nd
2.088 3.618 5.897 Ho
2.088 -3.618 5.897 Ho
2.088 0.000 5.897 Th
```

**D(E_F)**: 16.6 states/eV/cell
**Raw total energy**: -58.70 eV per cell
**Total moment**: 0.000 μB/atom
**Energy relative to the elements**: 31 meV per atom

***

No. 6
First-principles (GGA-PBE) data for an optimized crystal structure of Ac7Sn4H, as listed in the Alexandria database.

Cell and atoms, written as POSCAR:
```
Ac7Sn4H
1.0
8.718 -2.785 0.000
8.718 2.785 0.000
-7.453 0.000 9.286
Ac Sn H
7 4 1
Cartesian
0.000 0.000 0.000 Ac
-1.726 0.000 5.162 Ac
3.980 0.000 1.337 Ac
2.002 0.000 6.744 Ac
7.981 0.000 2.542 Ac
6.003 0.000 7.948 Ac
11.709 0.000 4.124 Ac
-4.544 0.000 7.332 Sn
1.257 0.000 3.215 Sn
8.727 0.000 6.071 Sn
14.527 0.000 1.954 Sn
8.718 0.000 0.000 H
```

**D(E_F)**: 8.9 states/eV/cell
**Raw total energy**: -53.76 eV per cell
**Total moment**: 0.000 μB/atom

***

What is the formula in the second record? Ac2TlGe